First-principles (PBE) data for a relaxed structure of Tc2NiCl, as listed in Alexandria via LeMat-Bulk.

Output
Energy relative to the elements, uncorrected ... 120.7 kJ/mol of formula units
E_tot ... -6.78 eV/atom
V ... 14.4 Å³/atom
Total magnetic moment ... 0.00 Bohr magnetons per cell

Geometry as POSCAR:
```
Tc2NiCl
1.0
2.861 0.000 0.000
0.000 2.861 0.000
0.000 0.000 7.041
Cl Ni Tc
1 1 2
Cartesian
0.000 0.000 3.539
1.431 1.431 5.302
0.000 0.000 0.038
1.431 1.431 1.682
```

***

First-principles (PBE) data for a relaxed structure of Pm4Sn5Au2, as listed in Alexandria via LeMat-Bulk.

Output
E_tot ... -4.81 eV/atom
V ... 26.3 Å³/atom
Energy of formation from the pure elements ... -0.665 eV/atom
Total magnetic moment ... 0.00 Bohr magnetons per cell

Geometry as POSCAR:
```
Pm4Sn5Au2
1.0
-3.431 -0.835 0.419
2.084 -7.102 2.912
0.038 4.467 9.210
Pm Sn Au
4 5 2
Cartesian
-0.142 -3.196 7.553
-1.299 2.212 8.856
-1.166 -0.275 4.988
-0.009 -5.683 3.685
1.184 -2.622 4.469
0.371 -0.532 1.977
1.042 -3.551 1.456
1.752 -2.104 10.145
0.938 -0.013 7.654
0.162 2.366 6.040
1.961 -5.002 6.082
```

***

First-principles (PBE) data for a relaxed structure of DyMg11Cu, as listed in Alexandria via LeMat-Bulk.

Output
E_tot ... -2.04 eV/atom
V ... 22.4 Å³/atom
Energy of formation from the pure elements ... -0.025 eV/atom
Total magnetic moment ... 0.00 Bohr magnetons per cell

Geometry as POSCAR:
```
DyMg11Cu
1.0
-2.541 -1.037 -5.009
-4.579 -6.053 0.524
-6.692 3.745 -0.637
Dy Mg Cu
1 11 1
Cartesian
0.000 0.000 0.000
-3.135 -0.863 -1.527
-10.677 -2.482 -3.594
-6.207 -4.479 -2.192
-7.605 1.134 -2.930
-8.255 -1.793 -1.857
-5.557 -1.552 -3.265
-8.551 -0.715 -5.175
-5.261 -2.630 0.054
-2.289 -3.027 0.262
-4.617 1.354 -2.823
-3.346 1.872 -0.318
-3.560 -3.545 -2.242
```

***

First-principles (PBE) data for a relaxed structure of Li2MnCl, as listed in Alexandria via LeMat-Bulk.

Output
Energy relative to the elements, uncorrected ... -61.9 kJ/mol of formula units
E_tot ... -3.87 eV/atom
V ... 18.2 Å³/atom
Total magnetic moment ... 3.98 Bohr magnetons per cell

Geometry as POSCAR:
```
Li2MnCl
1.0
-1.413 5.667 1.179
-5.415 2.474 0.239
3.268 -4.635 1.828
Cl Li Mn
1 2 1
Cartesian
-0.779 2.551 1.858
0.000 0.000 0.000
-2.780 0.955 1.388
-3.414 4.070 0.709
```

***

First-principles (PBE) data for a relaxed structure of Cr2GeOsCl, as listed in Alexandria via LeMat-Bulk.

Output
Energy relative to the elements, uncorrected ... 648.1 kJ/mol of formula units
E_tot ... -6.04 eV/atom
V ... 16.4 Å³/atom
Total magnetic moment ... 4.87 Bohr magnetons per cell

Geometry as POSCAR:
```
Cr2GeOsCl
1.0
-1.665 1.542 3.464
3.489 -2.025 2.578
2.295 3.421 -0.419
Cr Ge Os Cl
2 1 1 1
Cartesian
1.148 1.710 -0.210
-0.832 0.771 1.732
1.744 -1.012 1.289
2.060 1.469 2.811
0.000 0.000 0.000
```

***

First-principles (PBE) data for a relaxed structure of Mg2CuIr, as listed in Alexandria via LeMat-Bulk.

Output
E_tot ... -4.25 eV/atom
V ... 15.6 Å³/atom
Energy of formation from the pure elements ... -0.215 eV/atom
Total magnetic moment ... 0.00 Bohr magnetons per cell

Geometry as POSCAR:
```
Mg2CuIr
1.0
5.082 0.004 0.041
4.157 2.923 0.041
1.442 0.457 4.231
Mg Ir Cu
2 1 1
Cartesian
9.162 2.903 0.286
8.078 2.560 3.041
2.507 0.794 0.952
5.512 1.746 2.271
```

***

First-principles (PBE) data for a relaxed structure of LiHfZn2, as listed in Alexandria via LeMat-Bulk.

Output
E_tot ... -3.77 eV/atom
V ... 16.4 Å³/atom
Energy of formation from the pure elements ... -0.165 eV/atom
Total magnetic moment ... 0.00 Bohr magnetons per cell

Geometry as POSCAR:
```
LiHfZn2
1.0
-2.284 -1.978 0.706
2.044 -1.856 1.416
-1.053 3.305 5.853
Zn Hf Li
2 1 1
Cartesian
-0.817 2.566 4.543
-0.236 0.740 1.310
-0.646 -0.264 3.988
-0.120 -1.917 1.061
```

***

First-principles (PBE) data for a relaxed structure of Th2ZnCoHg, as listed in Alexandria via LeMat-Bulk.

Output
E_tot ... -5.00 eV/atom
V ... 23.3 Å³/atom
Energy of formation from the pure elements ... -0.299 eV/atom
Total magnetic moment ... 0.00 Bohr magnetons per cell

Geometry as POSCAR:
```
Th2ZnCoHg
1.0
3.883 0.000 0.000
0.000 8.066 0.103
0.000 -3.232 7.406
Th Zn Co Hg
4 2 2 2
Cartesian
2.912 5.123 5.016
2.912 2.522 7.463
0.971 -0.288 2.493
0.971 2.312 0.046
0.971 2.519 4.794
2.912 2.315 2.716
0.971 4.273 6.732
2.912 0.562 0.778
0.971 4.479 2.458
2.912 0.355 5.052
```

***

First-principles (PBE) data for a relaxed structure of Pm6ScIn3, as listed in Alexandria via LeMat-Bulk.

Output
E_tot ... -4.56 eV/atom
V ... 29.8 Å³/atom
Energy of formation from the pure elements ... -0.260 eV/atom
Total magnetic moment ... 0.00 Bohr magnetons per cell

Geometry as POSCAR:
```
Pm6ScIn3
1.0
5.471 0.000 0.000
0.000 9.021 -3.154
0.000 -0.091 12.101
Pm Sc In
12 2 6
Cartesian
1.368 4.169 -0.412
4.103 4.761 9.358
1.368 1.199 1.460
4.103 7.731 7.487
1.368 5.847 6.093
4.103 3.083 2.854
1.368 2.258 5.132
4.103 6.672 3.814
1.368 7.583 0.888
4.103 1.347 8.059
1.368 0.810 10.298
4.103 8.120 -1.351
1.368 8.637 3.961
4.103 0.294 4.986
1.368 4.889 2.874
4.103 4.042 6.073
1.368 3.262 8.245
4.103 5.668 0.701
1.368 6.855 9.303
4.103 2.076 -0.356
```

***

First-principles (PBE) data for a relaxed structure of LaTb3Dy, as listed in Alexandria via LeMat-Bulk.

Output
E_tot ... -4.35 eV/atom
V ... 36.0 Å³/atom
Energy of formation from the pure elements ... 0.334 eV/atom
Total magnetic moment ... 0.00 Bohr magnetons per cell

Geometry as POSCAR:
```
LaTb3Dy
1.0
3.658 0.002 0.000
-1.830 8.397 0.000
0.000 0.000 11.705
La Tb Dy
2 6 2
Cartesian
0.918 0.954 2.926
0.910 7.445 8.778
2.743 1.635 11.674
-0.914 6.764 0.030
2.743 1.635 5.883
-0.914 6.764 5.822
0.918 6.580 2.926
0.910 1.819 8.778
2.753 3.856 2.926
-0.924 4.543 8.778
```

***

First-principles (PBE) data for a relaxed structure of PmYCdPb, as listed in Alexandria via LeMat-Bulk.

Output
E_tot ... -4.38 eV/atom
V ... 27.9 Å³/atom
Energy of formation from the pure elements ... -0.424 eV/atom
Total magnetic moment ... 0.00 Bohr magnetons per cell

Geometry as POSCAR:
```
PmYCdPb
1.0
5.406 0.000 0.000
2.703 4.682 0.000
2.703 1.561 4.414
Pb Y Cd Pm
1 1 1 1
Cartesian
2.703 1.561 1.103
0.000 0.000 0.000
8.109 4.682 3.310
5.406 3.121 2.207
```

***

First-principles (PBE) data for a relaxed structure of Co2Re, as listed in Alexandria via LeMat-Bulk.

Output
E_tot ... -8.76 eV/atom
V ... 12.2 Å³/atom
Energy of formation from the pure elements ... 0.124 eV/atom
Total magnetic moment ... 0.00 Bohr magnetons per cell

Geometry as POSCAR:
```
Co2Re
1.0
3.493 -6.049 0.000
3.493 6.049 0.000
0.000 0.000 2.588
Co Re
6 3
Cartesian
1.068 1.849 0.000
2.244 3.887 1.294
1.068 -1.849 0.000
4.850 0.000 0.000
2.244 -3.887 1.294
2.497 0.000 1.294
0.000 0.000 1.294
3.493 2.016 0.000
3.493 -2.016 0.000
```

***

- Among the records above, which one has the highest total magnetic moment?
  Cr2GeOsCl